Record 1
{
  "formula": "LiY2Ir",
  "functional": "PBE-GGA",
  "state": "relaxed",
  "total_magnetization_mub_per_atom": 0.000,
  "delta_e_f_kj_per_mol_atoms": -8.8,
  "total_energy_ev_per_atom": -6.017,
  "space_group": "No. 122",
  "lattice": [[-3.9045, 3.9045, 3.2280], [3.9045, -3.9045, 3.2280], [3.9045, 3.9045, -3.2280]],
  "species": ["Li", "Li", "Y", "Y", "Y", "Y", "Ir", "Ir"],
  "frac_coords": [[0.0000, 0.0000, 0.0000], [0.7500, 0.2500, 0.5000], [0.1580, 0.1250, 0.5330], [0.3750, 0.8420, 0.9670], [0.5920, 0.6250, 0.4670], [0.8750, 0.4080, 0.0330], [0.2500, 0.7500, 0.5000], [0.5000, 0.5000, 0.0000]]
}



Record 2
{
  "formula": "Zn2FeAs",
  "functional": "PBE-GGA",
  "state": "relaxed",
  "total_magnetization_mub_per_atom": 0.132,
  "delta_e_f_kj_per_mol_atoms": 24.1,
  "total_energy_ev_per_atom": -3.665,
  "space_group": "No. 141",
  "lattice": [[-4.6297, 4.6297, 2.1605], [4.6297, -4.6297, 2.1605], [4.6297, 4.6297, -2.1605]],
  "species": ["Zn", "Zn", "Zn", "Zn", "Fe", "Fe", "As", "As"],
  "frac_coords": [[0.0000, 0.0000, 0.0000], [0.0000, 0.0000, 0.5000], [0.0000, 0.5000, 0.0000], [0.5000, 0.0000, 0.5000], [0.1250, 0.8750, 0.2500], [0.8750, 0.1250, 0.7500], [0.3750, 0.6250, 0.7500], [0.6250, 0.3750, 0.2500]]
}



Record 3
{
  "formula": "NaNbZn",
  "functional": "PBE-GGA",
  "state": "relaxed",
  "total_magnetization_mub_per_atom": 0.000,
  "delta_e_f_kj_per_mol_atoms": 28.3,
  "total_energy_ev_per_atom": -3.928,
  "space_group": "No. 2",
  "lattice": [[2.6833, 0.0000, 0.0000], [0.1021, 5.1739, 0.0000], [0.2191, 1.9265, 8.4616]],
  "species": ["Na", "Na", "Nb", "Nb", "Zn", "Zn"],
  "frac_coords": [[0.2480, 0.2724, 0.4355], [0.7520, 0.7276, 0.5645], [0.2888, 0.8746, 0.1461], [0.7112, 0.1254, 0.8539], [0.2291, 0.6254, 0.8703], [0.7709, 0.3746, 0.1297]]
}



Record 4
{
  "formula": "EuH2Ir",
  "functional": "PBE-GGA",
  "state": "relaxed",
  "total_magnetization_mub_per_atom": 1.804,
  "total_energy_ev_per_atom": -5.963,
  "space_group": "No. 123",
  "lattice": [[2.9027, 0.0000, 0.0000], [0.0000, 2.9027, 0.0000], [0.0000, 0.0000, 5.6668]],
  "species": ["Eu", "H", "H", "Ir"],
  "frac_coords": [[0.0000, 0.0000, 0.0000], [0.5000, 0.5000, 0.3594], [0.5000, 0.5000, 0.6406], [0.0000, 0.0000, 0.5000]]
}



Record 5
{
  "formula": "Y2MgB",
  "functional": "PBE-GGA",
  "state": "relaxed",
  "total_magnetization_mub_per_atom": 0.000,
  "delta_e_f_kj_per_mol_atoms": 28.0,
  "total_energy_ev_per_atom": -5.010,
  "space_group": "No. 225",
  "lattice": [[0.0000, 3.4779, 3.4779], [3.4779, 0.0000, 3.4779], [3.4779, 3.4779, 0.0000]],
  "species": ["Y", "Y", "Mg", "B"],
  "frac_coords": [[0.2500, 0.2500, 0.2500], [0.7500, 0.7500, 0.7500], [0.0000, 0.0000, 0.0000], [0.5000, 0.5000, 0.5000]]
}



Record 6
{
  "formula": "Na4MgZr3Te8",
  "functional": "PBE-GGA",
  "state": "relaxed",
  "total_magnetization_mub_per_atom": 0.000,
  "total_energy_ev_per_atom": -4.509,
  "space_group": "No. 166",
  "lattice": [[4.1781, 2.4122, 7.6724], [-4.1781, 2.4122, 7.6724], [0.0000, -4.8244, 7.6724]],
  "species": ["Na", "Na", "Na", "Na", "Mg", "Zr", "Zr", "Zr", "Te", "Te", "Te", "Te", "Te", "Te", "Te", "Te"],
  "frac_coords": [[0.0000, 0.0000, 0.0000], [0.0000, 0.5000, 0.5000], [0.5000, 0.0000, 0.5000], [0.5000, 0.5000, 0.0000], [0.5000, 0.5000, 0.5000], [0.0000, 0.0000, 0.5000], [0.0000, 0.5000, 0.0000], [0.5000, 0.0000, 0.0000], [0.2402, 0.7411, 0.7411], [0.2417, 0.2417, 0.2417], [0.2589, 0.2589, 0.7598], [0.2589, 0.7598, 0.2589], [0.7411, 0.2402, 0.7411], [0.7411, 0.7411, 0.2402], [0.7583, 0.7583, 0.7583], [0.7598, 0.2589, 0.2589]]
}



Record 7
{
  "formula": "SiW2N",
  "functional": "PBE-GGA",
  "state": "relaxed",
  "total_magnetization_mub_per_atom": 0.000,
  "total_energy_ev_per_atom": -9.155,
  "space_group": "No. 225",
  "lattice": [[0.0000, 2.9419, 2.9419], [2.9419, 0.0000, 2.9419], [2.9419, 2.9419, 0.0000]],
  "species": ["Si", "W", "W", "N"],
  "frac_coords": [[0.0000, 0.0000, 0.0000], [0.2500, 0.2500, 0.2500], [0.7500, 0.7500, 0.7500], [0.5000, 0.5000, 0.5000]]
}



Record 8
{
  "formula": "CsPr2Tm",
  "functional": "PBE-GGA",
  "state": "relaxed",
  "total_magnetization_mub_per_atom": 0.000,
  "delta_e_f_kj_per_mol_atoms": 27.0,
  "total_energy_ev_per_atom": -3.441,
  "space_group": "No. 166",
  "lattice": [[1.8634, 1.0758, 13.4680], [-1.8634, 1.0758, 13.4680], [0.0000, -2.1516, 13.4680]],
  "species": ["Cs", "Pr", "Pr", "Tm"],
  "frac_coords": [[0.0000, 0.0000, 0.0000], [0.0966, 0.0966, 0.0966], [0.9034, 0.9034, 0.9034], [0.5000, 0.5000, 0.5000]]
}



Record 9
{
  "formula": "Tb4TmIn2",
  "functional": "PBE-GGA",
  "state": "relaxed",
  "total_magnetization_mub_per_atom": 0.000,
  "delta_e_f_kj_per_mol_atoms": -9.7,
  "total_energy_ev_per_atom": -4.167,
  "space_group": "No. 136",
  "lattice": [[9.0434, 0.0000, 0.0000], [0.0000, 9.0434, 0.0000], [0.0000, 0.0000, 5.3553]],
  "species": ["Tb", "Tb", "Tb", "Tb", "Tb", "Tb", "Tb", "Tb", "Tm", "Tm", "In", "In", "In", "In"],
  "frac_coords": [[0.0761, 0.3295, 0.0000], [0.1705, 0.5761, 0.5000], [0.3295, 0.0761, 0.0000], [0.4239, 0.8295, 0.5000], [0.5761, 0.1705, 0.5000], [0.6705, 0.9239, 0.0000], [0.8295, 0.4239, 0.5000], [0.9239, 0.6705, 0.0000], [0.0000, 0.0000, 0.5000], [0.5000, 0.5000, 0.0000], [0.2424, 0.2424, 0.5000], [0.2576, 0.7424, 0.0000], [0.7424, 0.2576, 0.0000], [0.7576, 0.7576, 0.5000]]
}



Record 10
{
  "formula": "LaTm2Pb",
  "functional": "PBE-GGA",
  "state": "relaxed",
  "total_magnetization_mub_per_atom": 0.000,
  "delta_e_f_kj_per_mol_atoms": -22.8,
  "total_energy_ev_per_atom": -4.631,
  "space_group": "No. 62",
  "lattice": [[13.3457, 0.0000, 0.0000], [0.0000, 5.4583, 0.0000], [0.0000, 0.0000, 6.7284]],
  "species": ["La", "La", "La", "La", "Tm", "Tm", "Tm", "Tm", "Tm", "Tm", "Tm", "Tm", "Pb", "Pb", "Pb", "Pb"],
  "frac_coords": [[0.1389, 0.2500, 0.0908], [0.3611, 0.7500, 0.5908], [0.6389, 0.2500, 0.4092], [0.8611, 0.7500, 0.9092], [0.0542, 0.7500, 0.3629], [0.1986, 0.2500, 0.5984], [0.3014, 0.7500, 0.0984], [0.4458, 0.2500, 0.8629], [0.5542, 0.7500, 0.1371], [0.6986, 0.2500, 0.9016], [0.8014, 0.7500, 0.4016], [0.9458, 0.2500, 0.6371], [0.1079, 0.7500, 0.8137], [0.3921, 0.2500, 0.3137], [0.6079, 0.7500, 0.6863], [0.8921, 0.2500, 0.1863]]
}



Record 11
{
  "formula": "MgSc2GeH",
  "functional": "PBE-GGA",
  "state": "relaxed",
  "total_magnetization_mub_per_atom": 0.230,
  "total_energy_ev_per_atom": -4.844,
  "space_group": "No. 123",
  "lattice": [[4.3053, 0.0000, 0.0000], [0.0000, 4.3053, 0.0000], [0.0000, 0.0000, 4.3334]],
  "species": ["Mg", "Sc", "Sc", "Ge", "H"],
  "frac_coords": [[0.0000, 0.0000, 0.0000], [0.0000, 0.5000, 0.5000], [0.5000, 0.0000, 0.5000], [0.5000, 0.5000, 0.0000], [0.0000, 0.0000, 0.5000]]
}



Record 12
{
  "formula": "Dy6HoTh2",
  "functional": "PBE-GGA",
  "state": "relaxed",
  "total_magnetization_mub_per_atom": 0.000,
  "delta_e_f_kj_per_mol_atoms": 5.1,
  "total_energy_ev_per_atom": -5.173,
  "space_group": "No. 65",
  "lattice": [[4.8436, -8.4022, 0.0000], [4.8436, 8.4022, 0.0000], [0.0000, 0.0000, 3.4776]],
  "species": ["Dy", "Dy", "Dy", "Dy", "Dy", "Dy", "Ho", "Th", "Th"],
  "frac_coords": [[0.1663, 0.1663, 0.0000], [0.1667, 0.5001, 0.0000], [0.5001, 0.1667, 0.0000], [0.4999, 0.8333, 0.0000], [0.8333, 0.4999, 0.0000], [0.8337, 0.8337, 0.0000], [0.5000, 0.5000, 0.5000], [0.1668, 0.8332, 0.5000], [0.8332, 0.1668, 0.5000]]
}



Record 13
{
  "formula": "TaAgPt2",
  "functional": "PBE-GGA",
  "state": "relaxed",
  "total_magnetization_mub_per_atom": 0.000,
  "delta_e_f_kj_per_mol_atoms": -39.5,
  "total_energy_ev_per_atom": -7.106,
  "space_group": "No. 10",
  "lattice": [[2.8949, 0.0000, 0.0000], [0.0000, 3.8966, 0.0000], [-0.0142, 0.0000, 5.8229]],
  "species": ["Ta", "Ag", "Pt", "Pt"],
  "frac_coords": [[0.0000, 0.0000, 0.0000], [0.0000, 0.0000, 0.5000], [0.4996, 0.5000, 0.2428], [0.5004, 0.5000, 0.7572]]
}



Record 14
{
  "formula": "NaAsBr2Cl",
  "functional": "PBE-GGA",
  "state": "relaxed",
  "total_magnetization_mub_per_atom": 0.113,
  "total_energy_ev_per_atom": -2.216,
  "space_group": "No. 123",
  "lattice": [[6.4109, 0.0000, 0.0000], [0.0000, 6.4109, 0.0000], [0.0000, 0.0000, 4.5538]],
  "species": ["Na", "As", "Br", "Br", "Cl"],
  "frac_coords": [[0.0000, 0.0000, 0.0000], [0.5000, 0.5000, 0.0000], [0.0000, 0.5000, 0.5000], [0.5000, 0.0000, 0.5000], [0.5000, 0.5000, 0.5000]]
}



Record 15
{
  "formula": "Na3GeTe3",
  "functional": "PBE-GGA",
  "state": "relaxed",
  "total_magnetization_mub_per_atom": 0.000,
  "total_energy_ev_per_atom": -3.139,
  "space_group": "No. 12",
  "lattice": [[4.4522, -6.9137, 0.0000], [4.4522, 6.9137, 0.0000], [-1.1020, 0.0000, 7.6469]],
  "species": ["Na", "Na", "Na", "Na", "Na", "Na", "Ge", "Ge", "Te", "Te", "Te", "Te", "Te", "Te"],
  "frac_coords": [[0.1722, 0.8278, 0.0000], [0.2426, 0.7574, 0.5000], [0.4258, 0.4258, 0.1693], [0.5742, 0.5742, 0.8307], [0.7574, 0.2426, 0.5000], [0.8278, 0.1722, 0.0000], [0.1743, 0.1743, 0.6317], [0.8257, 0.8257, 0.3683], [0.1098, 0.1098, 0.2654], [0.1526, 0.4685, 0.7774], [0.4685, 0.1526, 0.7774], [0.5315, 0.8474, 0.2226], [0.8474, 0.5315, 0.2226], [0.8902, 0.8902, 0.7346]]
}



Record 16
{
  "formula": "SmBe2Pt3",
  "functional": "PBE-GGA",
  "state": "relaxed",
  "total_magnetization_mub_per_atom": 0.000,
  "delta_e_f_kj_per_mol_atoms": -75.4,
  "total_energy_ev_per_atom": -5.831,
  "space_group": "No. 191",
  "lattice": [[9.1976, 0.0000, 0.0000], [-4.5988, 7.9653, 0.0000], [0.0000, 0.0000, 3.8651]],
  "species": ["Sm", "Sm", "Sm", "Be", "Be", "Be", "Be", "Be", "Be", "Pt", "Pt", "Pt", "Pt", "Pt", "Pt", "Pt", "Pt", "Pt"],
  "frac_coords": [[0.0000, 0.0000, 0.0000], [0.3333, 0.6667, 0.5000], [0.6667, 0.3333, 0.5000], [0.1814, 0.3628, 0.0000], [0.1814, 0.8186, 0.0000], [0.3628, 0.1814, 0.0000], [0.6372, 0.8186, 0.0000], [0.8186, 0.1814, 0.0000], [0.8186, 0.6372, 0.0000], [0.0000, 0.2918, 0.5000], [0.0000, 0.5000, 0.0000], [0.0000, 0.7082, 0.5000], [0.2918, 0.0000, 0.5000], [0.2918, 0.2918, 0.5000], [0.5000, 0.0000, 0.0000], [0.5000, 0.5000, 0.0000], [0.7082, 0.0000, 0.5000], [0.7082, 0.7082, 0.5000]]
}



Record 17
{
  "formula": "Nd3Dy2Ho7",
  "functional": "PBE-GGA",
  "state": "relaxed",
  "total_magnetization_mub_per_atom": 0.000,
  "delta_e_f_kj_per_mol_atoms": 8.4,
  "total_energy_ev_per_atom": -4.543,
  "space_group": "No. 10",
  "lattice": [[5.8239, 0.0000, 0.0000], [0.0000, 3.5652, 0.0000], [-1.0128, 0.0000, 18.7512]],
  "species": ["Nd", "Nd", "Nd", "Dy", "Dy", "Ho", "Ho", "Ho", "Ho", "Ho", "Ho", "Ho"],
  "frac_coords": [[0.0000, 0.0000, 0.0000], [0.2770, 0.5000, 0.6332], [0.7230, 0.5000, 0.3668], [0.2115, 0.0000, 0.2924], [0.7885, 0.0000, 0.7076], [0.1915, 0.5000, 0.1436], [0.2429, 0.0000, 0.4623], [0.3061, 0.0000, 0.8246], [0.5000, 0.5000, 0.0000], [0.6939, 0.0000, 0.1754], [0.7571, 0.0000, 0.5377], [0.8085, 0.5000, 0.8564]]
}



Record 18
{
  "formula": "CeEuHoTh",
  "functional": "PBE-GGA",
  "state": "relaxed",
  "total_magnetization_mub_per_atom": 2.556,
  "delta_e_f_kj_per_mol_atoms": 28.6,
  "total_energy_ev_per_atom": -6.755,
  "space_group": "No. 216",
  "lattice": [[0.0000, 4.0502, 4.0502], [4.0502, 0.0000, 4.0502], [4.0502, 4.0502, 0.0000]],
  "species": ["Ce", "Eu", "Ho", "Th"],
  "frac_coords": [[0.0000, 0.0000, 0.0000], [0.5000, 0.5000, 0.5000], [0.7500, 0.7500, 0.7500], [0.2500, 0.2500, 0.2500]]
}



Record 19
{
  "formula": "MgZnCo2",
  "functional": "PBE-GGA",
  "state": "relaxed",
  "total_magnetization_mub_per_atom": 0.565,
  "delta_e_f_kj_per_mol_atoms": 7.0,
  "total_energy_ev_per_atom": -4.198,
  "space_group": "No. 8",
  "lattice": [[4.6585, -1.3927, 0.0000], [4.6585, 1.3927, 0.0000], [-1.5298, 0.0000, 4.0882]],
  "species": ["Mg", "Zn", "Co", "Co"],
  "frac_coords": [[0.0000, 0.0000, 0.0000], [0.2219, 0.2219, 0.6906], [0.4759, 0.4759, 0.4813], [0.7616, 0.7616, 0.2302]]
}



Record 20
{
  "formula": "CaSmGd2",
  "functional": "PBE-GGA",
  "state": "relaxed",
  "total_magnetization_mub_per_atom": 3.862,
  "delta_e_f_kj_per_mol_atoms": 10.2,
  "total_energy_ev_per_atom": -8.615,
  "space_group": "No. 123",
  "lattice": [[5.1665, 0.0000, 0.0000], [0.0000, 5.1665, 0.0000], [0.0000, 0.0000, 5.1454]],
  "species": ["Ca", "Sm", "Gd", "Gd"],
  "frac_coords": [[0.0000, 0.0000, 0.0000], [0.5000, 0.5000, 0.0000], [0.0000, 0.5000, 0.5000], [0.5000, 0.0000, 0.5000]]
}